No. 1
Computed, not measured: crystalline Zr3HgW at its relaxed geometry at the PBEsol level of DFT.

Values from the calculation:
Its formation energy from the elements is 0.795 eV/atom. The total energy is -7.53 eV per atom.

Lattice parameters (Å, degrees): 5.0208 5.0208 5.0208 90.00 90.00 90.00
Atoms (fractional coordinates):
Zr: 0.0000 0.0000 0.5000
Zr: 0.0000 0.5000 0.0000
Zr: 0.5000 0.0000 0.0000
W: 0.0000 0.0000 0.0000
Hg: 0.5000 0.5000 0.5000

=====

No. 2
Computed, not measured: crystalline ZrHg2W at its relaxed geometry at the PBEsol level of DFT.

Values from the calculation:
Its formation energy from the elements is 0.267 eV/atom. The total energy is -5.74 eV per atom.

Lattice parameters (Å, degrees): 2.9195 5.2534 5.2534 112.53 90.00 90.00
Atoms (fractional coordinates):
Zr: 0.5000 0.5000 0.5000
W: 0.5000 0.0000 0.0000
Hg: 0.0000 0.5000 0.0000
Hg: 0.0000 0.0000 0.5000

=====

No. 3
Computed, not measured: crystalline ZrHg2W at its relaxed geometry at the PBEsol level of DFT.

Values from the calculation:
Its formation energy from the elements is 0.351 eV/atom. The total energy is -5.66 eV per atom.

Lattice parameters (Å, degrees): 4.1128 4.1128 5.3385 112.66 112.66 90.00
Atoms (fractional coordinates):
Zr: 0.2500 0.7500 0.5000
Hg: 0.0000 0.0000 0.0000
Hg: 0.7500 0.2500 0.5000
W: 0.5000 0.5000 0.0000

=====

No. 4
Computed, not measured: crystalline YHg2 at its relaxed geometry at the PBEsol level of DFT.

Values from the calculation:
Its formation energy from the elements is -0.541 eV/atom. The total energy is -3.19 eV per atom.

Lattice parameters (Å, degrees): 5.0061 6.2489 8.8491 90.00 90.00 90.00
Atoms (fractional coordinates):
Hg: 0.7500 0.4879 0.7548
Hg: 0.7500 0.7992 0.4179
Hg: 0.2500 0.7008 0.9179
Hg: 0.2500 0.2008 0.5821
Hg: 0.2500 0.5121 0.2452
Hg: 0.7500 0.9879 0.7452
Hg: 0.7500 0.2992 0.0821
Hg: 0.2500 0.0121 0.2548
Y: 0.2500 0.2042 0.9154
Y: 0.7500 0.2958 0.4154
Y: 0.7500 0.7958 0.0846
Y: 0.2500 0.7042 0.5846

=====

> The highest formation energy from the elements belongs to which entry?

Zr3HgW